[1]
## SrBe2SnMo (GGA-PBEsol)

Data for a relaxed SrBe2SnMo crystal.

Properties
For the total moment, the calculation gives 2.82 μB per cell. As for the formation energy: 2.46 eV/atom. The symmetry is P4/mmm (123).

Cell: 4.713 4.713 5.594 Å, 90.00 90.00 90.00°
Fractional coordinates of all 5 atoms:
Sr (0.000, 0.000, 0.000)
Be (0.000, 0.500, 0.000)
Be (0.500, 0.000, 0.000)
Sn (0.000, 0.000, 0.500)
Mo (0.500, 0.500, 0.500)

=====

[2]
## Tl2TeBr (GGA-PBEsol)

Data for a relaxed Tl2TeBr crystal.

Properties
For the total moment, the calculation gives 0.00 μB per cell. As for the energy above the most stable polymorph in this dataset: 0.0 meV per atom. The symmetry is P4/mmm (123). Its uncorrected formation energy is -1.65 eV/f.u.

Cell: 4.485 4.485 6.488 Å, 90.00 90.00 90.00°
Fractional coordinates of all 4 atoms:
Tl (0.000, 0.000, 0.000)
Tl (0.500, 0.500, 0.500)
Te (0.000, 0.000, 0.500)
Br (0.500, 0.500, 0.000)

=====

[3]
## TaMo5 (GGA-PBEsol)

Data for a relaxed TaMo5 crystal.

Properties
For the total moment, the calculation gives 0.00 μB per cell. As for the energy above the most stable polymorph in this dataset: 8.4 meV per atom. As for the formation energy: -0.08 eV/atom. The symmetry is P-3m1 (164).

Cell: 4.457 4.457 5.448 Å, 90.00 90.00 120.00°
Fractional coordinates of all 6 atoms:
Ta (0.000, 0.000, 0.000)
Mo (0.000, 0.000, 0.500)
Mo (0.333, 0.667, 0.170)
Mo (0.333, 0.667, 0.668)
Mo (0.667, 0.333, 0.332)
Mo (0.667, 0.333, 0.830)

=====

[4]
## HRhNF2 (GGA-PBEsol)

Data for a relaxed HRhNF2 crystal.

Properties
For the total moment, the calculation gives 0.01 μB per cell. The symmetry is P4/mmm (123). The calculation puts the total energy at -23.0 eV per cell.

Cell: 2.906 2.906 5.207 Å, 90.00 90.00 90.00°
Fractional coordinates of all 5 atoms:
H (0.000, 0.000, 0.000)
Rh (0.500, 0.500, 0.500)
N (0.000, 0.000, 0.500)
F (0.000, 0.500, 0.000)
F (0.500, 0.000, 0.000)

=====

[5]
## Na3IrPb (GGA-PBEsol)

Data for a relaxed Na3IrPb crystal.

Properties
For the total moment, the calculation gives 2.53 μB per cell. As for the formation energy: 1.40 eV/atom. The symmetry is Pm-3m (221).

Cell: 5.601 5.601 5.601 Å, 90.00 90.00 90.00°
Fractional coordinates of all 5 atoms:
Na (0.000, 0.000, 0.500)
Na (0.000, 0.500, 0.000)
Na (0.500, 0.000, 0.000)
Ir (0.500, 0.500, 0.500)
Pb (0.000, 0.000, 0.000)

=====

[6]
## Te2IrSe (GGA-PBEsol)

Data for a relaxed Te2IrSe crystal.

Properties
For the total moment, the calculation gives 0.00 μB per cell. The symmetry is P4/mmm (123). Its uncorrected formation energy is 1.23 eV/f.u.

Cell: 3.113 3.113 9.011 Å, 90.00 90.00 90.00°
Fractional coordinates of all 4 atoms:
Te (0.000, 0.000, 0.198)
Te (0.000, 0.000, 0.802)
Ir (0.500, 0.500, 0.000)
Se (0.500, 0.500, 0.500)

=====

[7]
## ReOs3O (GGA-PBEsol)

Data for a relaxed ReOs3O crystal.

Properties
For the total moment, the calculation gives 4.67 μB per cell. The symmetry is Pm-3m (221). Its uncorrected formation energy is 15.32 eV/f.u.

Cell: 4.680 4.680 4.680 Å, 90.00 90.00 90.00°
Fractional coordinates of all 5 atoms:
Re (0.000, 0.000, 0.000)
Os (0.000, 0.000, 0.500)
Os (0.000, 0.500, 0.000)
Os (0.500, 0.000, 0.000)
O (0.500, 0.500, 0.500)

=====

[8]
## Mn2CrP (GGA-PBEsol)

Data for a relaxed Mn2CrP crystal.

Properties
For the total moment, the calculation gives 0.00 μB per cell. As for the formation energy: -0.18 eV/atom. The symmetry is Pmm2 (25).

Cell: 2.608 3.600 4.526 Å, 90.00 90.00 90.00°
Fractional coordinates of all 4 atoms:
Mn (0.000, 0.000, 0.000)
Mn (0.500, 0.500, 0.283)
Cr (0.500, 0.500, 0.760)
P (0.000, 0.000, 0.501)

=====

Q: Which of these has the highest total moment?
A: ReOs3O

=====

Q: The highest total moment belongs to which entry?
A: ReOs3O

=====

Q: What is the formula in the first record?
A: SrBe2SnMo